1.
The following is a GGA-PBE calculation of HgSbW3 after structural relaxation, from Alexandria via LeMat-Bulk.

a = 4.9545 Å, b = 4.9545 Å, c = 4.9545 Å
α = 90.00°, β = 90.00°, γ = 90.00°
Closest atoms and distances in Å follow each position.
Sites, in units of the cell vectors:
Hg (0.0000, 0.0000, 0.0000)  6 W 2.48
Sb (0.5000, 0.5000, 0.5000)  12 W 3.50
W (0.0000, 0.0000, 0.5000)  2 Hg 2.48
W (0.0000, 0.5000, 0.0000)  2 Hg 2.48
W (0.5000, 0.0000, 0.0000)  2 Hg 2.48

The value obtained for the magnetization is 0.000 μB per atom. The excess energy over the best structure of this formula in the dataset comes out at 374 meV per atom.

2.
The following is a GGA-PBE calculation of HgSbW after structural relaxation, from Alexandria via LeMat-Bulk.

a = 4.8879 Å, b = 4.8879 Å, c = 2.9903 Å
α = 90.00°, β = 90.00°, γ = 120.00°
Closest atoms and distances in Å follow each position.
Sites, in units of the cell vectors:
Hg (0.0000, 0.0000, 0.0000)  2 Hg 2.99, 6 W 3.19, 6 Sb 3.19
Sb (0.3333, 0.6667, 0.5000)  3 W 2.82, 2 Sb 2.99
W (0.6667, 0.3333, 0.5000)  3 Sb 2.82, 2 W 2.99

The value obtained for the magnetization is 0.000 μB per atom. The excess energy over the best structure of this formula in the dataset comes out at 190 meV per atom.

3.
The following is a GGA-PBE calculation of HgSbW after structural relaxation, from Alexandria via LeMat-Bulk.

a = 3.3087 Å, b = 4.9423 Å, c = 17.3867 Å
α = 90.00°, β = 90.00°, γ = 90.00°
Closest atoms and distances in Å follow each position.
Sites, in units of the cell vectors:
Hg (0.0000, 0.0000, 0.0000)  6 Hg 2.97-3.31, 2 W 2.99
Hg (0.0000, 0.5000, 0.5000)  6 Hg 2.97-3.31, 2 W 2.99
Hg (0.5000, 0.0000, 0.5000)  6 Hg 2.97-3.31, 2 W 2.99
Hg (0.5000, 0.5000, 0.0000)  6 Hg 2.97-3.31, 2 W 2.99
Sb (0.0000, 0.0000, 0.2716)  2 W 2.78, 4 Sb 2.97
Sb (0.0000, 0.5000, 0.7716)  2 W 2.78, 4 Sb 2.97
Sb (0.5000, 0.0000, 0.7716)  2 W 2.78, 4 Sb 2.97
Sb (0.5000, 0.5000, 0.2716)  2 W 2.78, 4 Sb 2.97
W (0.0000, 0.0000, 0.6431)  2 Sb 2.78, 4 W 2.97, 2 Hg 2.99
W (0.0000, 0.5000, 0.1431)  2 Sb 2.78, 4 W 2.97, 2 Hg 2.99
W (0.5000, 0.0000, 0.1431)  2 Sb 2.78, 4 W 2.97, 2 Hg 2.99
W (0.5000, 0.5000, 0.6431)  2 Sb 2.78, 4 W 2.97, 2 Hg 2.99

The value obtained for the magnetization is 0.000 μB per atom. The excess energy over the best structure of this formula in the dataset comes out at 42 meV per atom.

4.
The following is a GGA-PBE calculation of Hg2SbW after structural relaxation, from Alexandria via LeMat-Bulk.

a = 4.0981 Å, b = 4.0981 Å, c = 10.0166 Å
α = 90.00°, β = 90.00°, γ = 90.00°
Closest atoms and distances in Å follow each position.
Sites, in units of the cell vectors:
Hg (0.0000, 0.5000, 0.2500)  4 Hg 2.90, 4 W 3.24, 4 Sb 3.24
Hg (0.0000, 0.5000, 0.7500)  4 Hg 2.90, 4 W 3.24, 4 Sb 3.24
Hg (0.5000, 0.0000, 0.2500)  4 Hg 2.90, 4 W 3.24, 4 Sb 3.24
Hg (0.5000, 0.0000, 0.7500)  4 Hg 2.90, 4 W 3.24, 4 Sb 3.24
Sb (0.0000, 0.0000, 0.0000)  4 W 2.90, 8 Hg 3.24
Sb (0.5000, 0.5000, 0.5000)  4 W 2.90, 8 Hg 3.24
W (0.0000, 0.0000, 0.5000)  4 Sb 2.90, 8 Hg 3.24
W (0.5000, 0.5000, 0.0000)  4 Sb 2.90, 8 Hg 3.24

The value obtained for the magnetization is 0.317 μB per atom.

5.
The following is a GGA-PBE calculation of Hg2SbW after structural relaxation, from Alexandria via LeMat-Bulk.

a = 3.1896 Å, b = 3.1896 Å, c = 29.4667 Å
α = 90.00°, β = 90.00°, γ = 120.00°
Closest atoms and distances in Å follow each position.
Sites, in units of the cell vectors:
Hg (0.0000, 0.0000, 0.2435)  3 W 2.92, 6 Hg 3.19, 3 Sb 3.22
Hg (0.0000, 0.0000, 0.7565)  3 W 2.92, 6 Hg 3.19, 3 Sb 3.22
Hg (0.3333, 0.6667, 0.4231)  3 W 2.92, 6 Hg 3.19, 3 Sb 3.22
Hg (0.3333, 0.6667, 0.9102)  3 W 2.92, 6 Hg 3.19, 3 Sb 3.22
Hg (0.6667, 0.3333, 0.0898)  3 W 2.92, 6 Hg 3.19, 3 Sb 3.22
Hg (0.6667, 0.3333, 0.5769)  3 W 2.92, 6 Hg 3.19, 3 Sb 3.22
Sb (0.0000, 0.0000, 0.0000)  6 Sb 3.19, 6 Hg 3.22
Sb (0.3333, 0.6667, 0.6667)  6 Sb 3.19, 6 Hg 3.22
Sb (0.6667, 0.3333, 0.3333)  6 Sb 3.19, 6 Hg 3.22
W (0.0000, 0.0000, 0.5000)  6 Hg 2.92, 6 W 3.19
W (0.3333, 0.6667, 0.1667)  6 Hg 2.92, 6 W 3.19
W (0.6667, 0.3333, 0.8333)  6 Hg 2.92, 6 W 3.19

The value obtained for the magnetization is 0.000 μB per atom.

6.
The following is a GGA-PBE calculation of HgSbW2 after structural relaxation, from Alexandria via LeMat-Bulk.

a = 10.2014 Å, b = 3.2623 Å, c = 5.0722 Å
α = 90.00°, β = 110.73°, γ = 90.00°
Closest atoms and distances in Å follow each position.
Sites, in units of the cell vectors:
Hg (0.0000, 0.0000, 0.0000)  7 W 2.88-3.08
Hg (0.5000, 0.5000, 0.0000)  7 W 2.88-3.08
Sb (0.2168, 0.0000, 0.6484)  7 W 2.82-3.07
Sb (0.7168, 0.5000, 0.6484)  7 W 2.82-3.07
W (0.2593, 0.5000, 0.1716)  2 W 2.53
W (0.4453, 0.0000, 0.4572)  2 W 2.53, 1 Sb 2.82
W (0.7593, 0.0000, 0.1716)  2 W 2.53
W (0.9453, 0.5000, 0.4572)  2 W 2.53, 1 Sb 2.82

The value obtained for the magnetization is 0.000 μB per atom. The excess energy over the best structure of this formula in the dataset comes out at 306 meV per atom.

Computed raw formation energy, in the same sequence as the records: 2.917; 0.865; 0.717; 0.868; 0.762; 0.753 eV/atom.